1.
Entry from the Alexandria database: a relaxed CsGa2P5O16 crystal (GGA-PBEsol).

Geometry as extended XYZ:
```
48
Lattice="7.475 0.000 0.000 0.000 9.267 0.000 -3.889 0.000 9.486" Properties=species:S:1:pos:R:3 pbc="T T T"
Cs 0.000 1.832 0.000
Cs -1.945 7.435 4.743
Ga -1.858 3.419 5.730
Ga 0.086 5.848 0.987
Ga 3.840 1.285 1.999
Ga 1.895 7.982 6.742
P 0.457 1.288 5.824
P 2.402 7.979 1.081
P -0.196 2.746 8.253
P 1.749 6.521 3.510
P 2.685 4.220 2.186
P 0.741 5.047 6.929
P 3.246 1.175 5.142
P 5.190 8.092 0.399
P 5.509 3.848 2.565
P 3.565 5.419 7.308
O -0.789 1.841 5.196
O 1.155 7.426 0.453
O -1.573 2.756 7.638
O 0.372 6.511 2.895
O -0.097 4.451 5.836
O 1.848 4.816 1.093
O 2.346 0.206 1.333
O 0.401 9.061 6.076
O 2.554 2.745 2.462
O 0.610 6.521 7.205
O 1.695 1.676 4.934
O 3.640 7.591 0.191
O 0.805 2.011 7.223
O 2.750 7.256 2.480
O 0.418 4.234 8.294
O 2.363 5.033 3.551
O 3.873 2.141 0.108
O 1.929 7.126 4.851
O 4.207 4.580 1.897
O 2.262 4.686 6.640
O 3.680 0.591 3.805
O 1.736 8.676 8.548
O 3.183 0.104 6.230
O 5.127 9.163 1.487
O 3.988 2.409 5.598
O 5.933 6.858 0.855
O 5.365 2.346 2.380
O 3.420 6.921 7.123
O 5.493 4.281 4.019
O 3.548 4.986 8.762
O 6.690 4.326 1.755
O 4.745 4.941 6.498
```

- space-group type = Pc, No. 7
- final energy (eV/atom) = -7.207
- raw formation energy (eV/f.u.) = -52.39

2.
Entry from the Alexandria database: a relaxed CsGaSe2O6 crystal (GGA-PBEsol).

Geometry as extended XYZ:
```
40
Lattice="6.878 -2.747 0.000 6.878 2.747 0.000 -5.475 0.000 17.555" Properties=species:S:1:pos:R:3 pbc="T T T"
Cs 0.000 0.000 0.000
Cs -3.266 0.000 12.471
Cs 4.141 0.000 8.778
Cs 11.547 0.000 5.085
Ga 0.599 0.000 11.147
Ga 4.072 0.000 2.232
Ga 4.209 0.000 15.324
Ga 7.682 0.000 6.409
Se 0.377 0.000 7.966
Se -1.944 0.000 16.584
Se 1.925 0.000 4.708
Se 1.548 0.000 14.424
Se 6.733 0.000 3.132
Se 6.357 0.000 12.848
Se 10.225 0.000 0.971
Se 7.904 0.000 9.589
O -1.359 1.327 15.649
O 2.064 1.325 5.804
O 1.820 1.410 10.357
O -0.506 0.000 9.458
O 5.644 1.242 2.627
O 2.637 1.242 14.928
O 4.699 0.000 0.297
O 3.539 0.000 4.141
O 6.461 1.410 7.199
O 1.769 0.000 12.711
O 6.218 1.325 11.751
O -1.359 -1.327 15.649
O 9.640 1.327 1.906
O 2.064 -1.325 5.804
O 6.512 0.000 4.844
O 1.820 -1.410 10.357
O 4.742 0.000 13.414
O 3.582 0.000 17.258
O 5.644 -1.242 2.627
O 2.637 -1.242 14.928
O 8.787 0.000 8.098
O 6.461 -1.410 7.199
O 6.218 -1.325 11.751
O 9.640 -1.327 1.906
```

- space-group type = C2/m, No. 12
- final energy (eV/atom) = -5.655
- raw formation energy (eV/f.u.) = -13.07

| no. | spin magnetization (μB per formula unit) |
| --- | --- |
| 1 | 0.00 |
| 2 | 0.00 |